[1]
Here is P2SeCl at its PBEsol-relaxed geometry from Alexandria. Energies are from meta-GGA SCAN.

Structure (extended XYZ):
```
4
Lattice="4.5570 0.0019 0.0000 -0.4788 4.5317 0.0000 -2.0391 -2.2668 3.7189" Properties=species:S:1:pos:R:3 pbc="T T T"
P 1.2590 -1.1325 1.8595
P -1.2590 1.1325 1.8595
Se 0.0000 0.0000 0.0000
Cl 2.0391 2.2668 0.0000
```

Its formation energy without anion corrections is 0.60 eV/atom. Its energy is -11.6103 eV/atom. As for the density of states at the Fermi level: 2.2 states/eV per cell.


[2]
Here is PSe2Cl at its PBEsol-relaxed geometry from Alexandria. Energies are from meta-GGA SCAN.

Structure (extended XYZ):
```
4
Lattice="3.4579 0.0000 0.0000 -1.7289 3.6903 0.0000 0.0000 0.0000 7.5100" Properties=species:S:1:pos:R:3 pbc="T T T"
P 1.7289 0.0000 5.7367
Se 0.0000 0.0000 7.3625
Se 1.7289 0.0000 1.7677
Cl 0.0000 0.0000 3.9082
```

Its formation energy without anion corrections is 0.45 eV/atom. Its energy is -14.1817 eV/atom. As for the density of states at the Fermi level: 2.2 states/eV per cell.